VASP calculation (PBE-GGA) on Pr4TmSn2 after structural relaxation.

abc: 5.516 5.516 9.978
angles: 73.95 73.95 60.00
Sites, in units of the cell vectors:
Pr1 0.719 0.719 0.843
Pr2 0.876 0.876 0.373
Pr3 0.281 0.281 0.157
Pr4 0.124 0.124 0.627
Tm1 0.500 0.500 0.500
Sn1 0.605 0.605 0.184
Sn2 0.395 0.395 0.816

Properties
ΔE_f   -0.27 eV per atom
Symmetry   R-3m (166)
Fermi-level density of states   1.24 states/eV/atom
Crystal system   trigonal

=====

VASP calculation (PBE-GGA) on BaSrAl2 after structural relaxation.

abc: 4.558 9.165 7.822
angles: 90.00 90.00 104.47
Sites, in units of the cell vectors:
Ba1 0.391 0.781 0.750
Ba2 0.609 0.219 0.250
Sr1 0.877 0.754 0.250
Sr2 0.123 0.246 0.750
Al1 0.249 0.499 0.417
Al2 0.751 0.501 0.583
Al3 0.249 0.499 0.083
Al4 0.751 0.501 0.917

Properties
ΔE_f   -0.19 eV per atom
Symmetry   P2_1/m (11)
Fermi-level density of states   0.61 states/eV/atom
Polymorph energy (0 for the lowest one)   0.00 eV/f.u.
Crystal system   monoclinic

=====

VASP calculation (PBE-GGA) on AcCe3In4 after structural relaxation.

abc: 5.820 7.293 11.062
angles: 90.00 90.00 90.00
Sites, in units of the cell vectors:
Ac1 0.000 0.500 0.000
Ac2 0.000 0.500 0.500
Ce1 0.000 0.000 0.000
Ce2 0.000 0.000 0.500
Ce3 0.649 0.000 0.750
Ce4 0.351 0.000 0.250
Ce5 0.620 0.500 0.750
Ce6 0.380 0.500 0.250
In1 0.500 0.764 0.000
In2 0.500 0.764 0.500
In3 0.500 0.236 0.000
In4 0.500 0.236 0.500
In5 0.147 0.766 0.750
In6 0.853 0.766 0.250
In7 0.853 0.234 0.250
In8 0.147 0.234 0.750

Properties
ΔE_f   -0.34 eV per atom
Symmetry   Pmma (51)
Fermi-level density of states   2.50 states/eV/atom
Crystal system   orthorhombic

=====

VASP calculation (PBE-GGA) on TbCeSmGa after structural relaxation.

abc: 5.344 5.344 5.344
angles: 60.00 60.00 60.00
Sites, in units of the cell vectors:
Ga1 0.250 0.250 0.250
Tb1 0.750 0.750 0.750
Ce1 0.000 0.000 0.000
Sm1 0.500 0.500 0.500

Properties
ΔE_f   -0.07 eV per atom
Symmetry   F-43m (216)
Fermi-level density of states   2.06 states/eV/atom
Crystal system   cubic

=====

VASP calculation (PBE-GGA) on SrMgCl2 after structural relaxation.

abc: 4.355 4.355 10.631
angles: 81.00 81.00 59.98
Sites, in units of the cell vectors:
Cl1 0.952 0.952 0.111
Cl2 0.548 0.548 0.389
Mg1 0.750 0.750 0.750
Sr1 0.250 0.250 0.250

Properties
Symmetry   C2/m (12)
Polymorph energy (0 for the lowest one)   0.00 eV/f.u.
Crystal system   monoclinic

=====

VASP calculation (PBE-GGA) on CdCu4Si after structural relaxation.

abc: 4.921 4.921 4.921
angles: 60.00 60.00 60.00
Sites, in units of the cell vectors:
Cd1 0.000 0.000 0.000
Cu1 0.874 0.375 0.375
Cu2 0.375 0.375 0.874
Cu3 0.375 0.874 0.375
Cu4 0.375 0.375 0.375
Si1 0.750 0.750 0.750

Properties
Total energy   -0.1343 hartree per atom
Symmetry   F-43m (216)
Fermi-level density of states   0.41 states/eV/atom
Crystal system   cubic

=====

Ρ list, top to bottom, in g cm⁻³: 6.5 2.9 7.8 8.0 1.8 7.8